VASP calculation (PBE-GGA) on a geometry-optimized InBr2O structure.

Lattice parameters (Å, degrees): 4.023 7.402 8.037 88.13 88.04 74.54
Element x y z (fractional)
Br 0.144 0.432 0.390
Br 0.849 0.992 0.531
Br 0.462 0.824 0.066
Br 0.173 0.305 0.856
In 0.668 0.350 0.612
In 0.974 0.711 0.771
O 0.017 0.836 0.995
O 0.526 0.628 0.695

Raw formation energy: -0.729 eV per atom
Space group: P1 (1)
Total moment: 0.0 Bohr magnetons per cell
Polymorph energy (0 for the lowest one): 0.40 eV per formula unit